(1)
The following is a DFT calculation (PBE) of TaAl2Ni after structural relaxation.

- Calculated density: 8.14 Mg/m³
- Total energy: -26.04 eV for the cell shown

abc: 2.868 4.095 5.296
angles: 90.00 105.56 90.00
Fractional positions:
1 Ta 0.000 0.000 0.000
2 Al 0.265 0.000 0.527
3 Al 0.645 0.500 0.290
4 Ni 0.391 0.500 0.775

=====

(2)
The following is a DFT calculation (PBE) of TaAl2Ni after structural relaxation.

- Calculated density: 8.35 Mg/m³
- Total energy: -26.52 eV for the cell shown

abc: 3.915 3.915 3.811
angles: 90.00 90.00 90.00
Fractional positions:
1 Ta 0.000 0.000 0.000
2 Al 0.000 0.500 0.500
3 Al 0.500 0.000 0.500
4 Ni 0.500 0.500 0.000

=====

(3)
The following is a DFT calculation (PBE) of TaTi2Al5Ni2 after structural relaxation.

- Calculated density: 5.87 Mg/m³
- Total energy: -124.26 eV for the cell shown

abc: 8.706 8.706 3.947
angles: 90.00 90.00 90.00
Fractional positions:
1 Ta 0.000 0.000 0.000
2 Ta 0.500 0.500 0.000
3 Ti 0.177 0.323 0.000
4 Ti 0.323 0.823 0.000
5 Ti 0.677 0.177 0.000
6 Ti 0.823 0.677 0.000
7 Al 0.000 0.500 0.500
8 Al 0.070 0.791 0.500
9 Al 0.209 0.070 0.500
10 Al 0.291 0.570 0.500
11 Al 0.430 0.291 0.500
12 Al 0.500 0.000 0.500
13 Al 0.570 0.709 0.500
14 Al 0.709 0.430 0.500
15 Al 0.791 0.930 0.500
16 Al 0.930 0.209 0.500
17 Ni 0.119 0.619 0.000
18 Ni 0.381 0.119 0.000
19 Ni 0.619 0.881 0.000
20 Ni 0.881 0.381 0.000

=====

(4)
The following is a DFT calculation (PBE) of TaAl2TlNi after structural relaxation.

- Calculated density: 8.61 Mg/m³
- Total energy: -26.15 eV for the cell shown

abc: 4.436 4.436 4.880
angles: 90.00 90.00 90.00
Fractional positions:
1 Ta 0.000 0.000 0.000
2 Al 0.000 0.500 0.500
3 Al 0.500 0.000 0.500
4 Tl 0.500 0.500 0.000
5 Ni 0.000 0.000 0.500

=====

(5)
The following is a DFT calculation (PBE) of Ta2AlTlNi after structural relaxation.

- Calculated density: 10.43 Mg/m³
- Total energy: -31.05 eV for the cell shown

abc: 4.671 4.671 4.755
angles: 90.00 90.00 90.00
Fractional positions:
1 Ta 0.000 0.500 0.000
2 Ta 0.500 0.000 0.000
3 Al 0.000 0.000 0.500
4 Tl 0.500 0.500 0.500
5 Ni 0.500 0.500 0.000

=====

(6)
The following is a DFT calculation (PBE) of Zr2TaAlNi after structural relaxation.

- Calculated density: 6.93 Mg/m³
- Total energy: -36.83 eV for the cell shown

abc: 4.828 4.828 4.615
angles: 90.00 90.00 90.00
Fractional positions:
1 Zr 0.000 0.500 0.000
2 Zr 0.500 0.000 0.000
3 Ta 0.000 0.000 0.500
4 Al 0.500 0.500 0.500
5 Ni 0.000 0.000 0.000

=====

(7)
The following is a DFT calculation (PBE) of TbAl3Ni2 after structural relaxation.

- Calculated density: 6.16 Mg/m³
- Total energy: -31.24 eV for the cell shown

abc: 5.282 5.282 3.983
angles: 90.00 90.00 120.00
Fractional positions:
1 Tb 0.000 0.000 0.000
2 Al 0.000 0.500 0.500
3 Al 0.500 0.000 0.500
4 Al 0.500 0.500 0.500
5 Ni 0.333 0.667 0.000
6 Ni 0.667 0.333 0.000

=====

(8)
The following is a DFT calculation (PBE) of Tb2AlNi2 after structural relaxation.

- Calculated density: 8.09 Mg/m³
- Total energy: -54.51 eV for the cell shown

abc: 4.190 5.408 8.376
angles: 90.00 90.00 90.00
Fractional positions:
1 Tb 0.000 0.000 0.203
2 Tb 0.000 0.000 0.797
3 Tb 0.500 0.500 0.297
4 Tb 0.500 0.500 0.703
5 Al 0.000 0.500 0.000
6 Al 0.500 0.000 0.500
7 Ni 0.000 0.267 0.500
8 Ni 0.000 0.733 0.500
9 Ni 0.500 0.233 0.000
10 Ni 0.500 0.767 0.000

=====

Among the records above, which one has the lowest total energy? TaTi2Al5Ni2

=====

Which formula does entry 4 have? TaAl2TlNi

=====

Copy entry 2 word for word.
The following is a DFT calculation (PBE) of TaAl2Ni after structural relaxation.

- Calculated density: 8.35 Mg/m³
- Total energy: -26.52 eV for the cell shown

abc: 3.915 3.915 3.811
angles: 90.00 90.00 90.00
Fractional positions:
1 Ta 0.000 0.000 0.000
2 Al 0.000 0.500 0.500
3 Al 0.500 0.000 0.500
4 Ni 0.500 0.500 0.000

=====

Number 3 is which compound? TaTi2Al5Ni2